Entry 1:
Pr4SmY2Sc: optimized geometry, PBE.

abc: 5.889 5.906 7.671
angles: 90.00 90.00 90.00
Space group Pmmm (No. 47)
Inequivalent atoms, fractional coordinates:
1 Pr 0.000 0.000 0.237
2 Pr 0.500 0.500 0.238
3 Sm 0.000 0.500 0.500
4 Y 0.000 0.500 0.000
5 Y 0.500 0.000 0.500
6 Sc 0.500 0.000 0.000

Computed properties:
Electronic total energy, eV/f.u.: -42.332
Size of the total moment, μB/f.u.: 0.00


Entry 2:
PrSmScZn: optimized geometry, PBE.

abc: 3.537 3.537 8.600
angles: 90.00 90.00 90.00
Space group P4mm (No. 99)
Inequivalent atoms, fractional coordinates:
1 Pr 0.000 0.000 0.000
2 Sm 0.500 0.500 0.682
3 Sc 0.500 0.500 0.283
4 Zn 0.000 0.000 0.449

Computed properties:
Electronic total energy, eV/f.u.: -17.670
Size of the total moment, μB/f.u.: 0.00


Entry 3:
PrSmScZn: optimized geometry, PBE.

abc: 7.545 7.545 7.545
angles: 90.00 90.00 90.00
Space group F-43m (No. 216)
Inequivalent atoms, fractional coordinates:
1 Pr 0.000 0.000 0.000
2 Sm 0.000 0.000 0.500
3 Sc 0.250 0.250 0.750
4 Zn 0.250 0.250 0.250

Computed properties:
Electronic total energy, eV/f.u.: -17.147
Size of the total moment, μB/f.u.: 0.00


Entry 4:
Pr2ScSn2: optimized geometry, PBE.

abc: 7.910 7.910 4.698
angles: 90.00 90.00 90.00
Space group P4/mbm (No. 127)
Inequivalent atoms, fractional coordinates:
1 Pr 0.172 0.328 0.000
2 Sc 0.000 0.000 0.500
3 Sn 0.133 0.633 0.500

Computed properties:
Electronic total energy, eV/f.u.: -27.414
Size of the total moment, μB/f.u.: 0.00